Computed, not measured: a PBEsol-optimized structure of BaLi3 at the SCAN level of DFT.

Cell: 8.928 8.194 6.769 Å, 90.00 90.00 90.00°
Sites, in units of the cell vectors:
Ba: 0.030 0.250 0.121
Ba: 0.470 0.750 0.621
Ba: 0.530 0.250 0.379
Ba: 0.970 0.750 0.879
Li: 0.128 0.750 0.351
Li: 0.162 0.062 0.585
Li: 0.162 0.438 0.585
Li: 0.338 0.562 0.085
Li: 0.338 0.938 0.085
Li: 0.372 0.250 0.851
Li: 0.628 0.750 0.149
Li: 0.662 0.062 0.915
Li: 0.662 0.438 0.915
Li: 0.838 0.562 0.415
Li: 0.838 0.938 0.415
Li: 0.872 0.250 0.649

Summary:
- calculated volume (Å³/f.u.) = 124
- space group = Pnma, No. 62


Computed, not measured: a PBEsol-optimized structure of Ba5Li at the SCAN level of DFT.

Cell: 4.762 19.881 6.684 Å, 90.00 90.00 90.00°
Sites, in units of the cell vectors:
Ba: 0.000 0.000 0.000
Ba: 0.000 0.154 0.500
Ba: 0.000 0.330 0.000
Ba: 0.000 0.670 0.000
Ba: 0.000 0.846 0.500
Ba: 0.500 0.170 0.000
Ba: 0.500 0.346 0.500
Ba: 0.500 0.500 0.000
Ba: 0.500 0.654 0.500
Ba: 0.500 0.830 0.000
Li: 0.000 0.500 0.500
Li: 0.500 0.000 0.500

Summary:
- energy above the lowest structure with this stoichiometry (meV/atom) = 28
- calculated volume (Å³/f.u.) = 316
- space group = Cmmm, No. 65


Computed, not measured: a PBEsol-optimized structure of BaLi8 at the SCAN level of DFT.

Cell: 7.260 7.260 7.260 Å, 96.03 96.03 142.17°
Sites, in units of the cell vectors:
Ba: 0.000 0.000 0.000
Li: 0.000 0.353 0.353
Li: 0.000 0.647 0.647
Li: 0.311 0.311 0.622
Li: 0.311 0.689 0.000
Li: 0.353 0.000 0.353
Li: 0.647 0.000 0.647
Li: 0.689 0.311 0.000
Li: 0.689 0.689 0.378

Summary:
- calculated volume (Å³/f.u.) = 222
- space group = I4/mmm, No. 139


Computed, not measured: a PBEsol-optimized structure of BaLi at the SCAN level of DFT.

Cell: 4.240 4.240 10.716 Å, 90.00 90.00 120.00°
Sites, in units of the cell vectors:
Ba: 0.333 0.667 0.168
Ba: 0.667 0.333 0.832
Li: 0.333 0.667 0.575
Li: 0.667 0.333 0.425

Summary:
- energy above the lowest structure with this stoichiometry (meV/atom) = 136
- calculated volume (Å³/f.u.) = 83
- space group = P-3m1, No. 164


Computed, not measured: a PBEsol-optimized structure of BaLi at the SCAN level of DFT.

Cell: 4.065 4.065 9.475 Å, 90.00 90.00 90.00°
Sites, in units of the cell vectors:
Ba: 0.250 0.250 0.181
Ba: 0.750 0.750 0.819
Li: 0.250 0.250 0.559
Li: 0.750 0.750 0.441

Summary:
- energy above the lowest structure with this stoichiometry (meV/atom) = 22
- calculated volume (Å³/f.u.) = 78
- space group = P4/nmm, No. 129


Computed, not measured: a PBEsol-optimized structure of BaLi4Mg at the SCAN level of DFT.

Cell: 5.992 5.992 5.992 Å, 60.00 60.00 60.00°
Sites, in units of the cell vectors:
Ba: 0.000 0.000 0.000
Li: 0.135 0.622 0.622
Li: 0.622 0.135 0.622
Li: 0.622 0.622 0.135
Li: 0.622 0.622 0.622
Mg: 0.250 0.250 0.250

Summary:
- calculated volume (Å³/f.u.) = 152
- space group = F-43m, No. 216


Computed, not measured: a PBEsol-optimized structure of Ba2LiMg at the SCAN level of DFT.

Cell: 5.830 5.830 8.233 Å, 90.00 90.00 90.00°
Sites, in units of the cell vectors:
Ba: 0.000 0.000 0.000
Ba: 0.000 0.500 0.250
Ba: 0.500 0.000 0.750
Ba: 0.500 0.500 0.500
Li: 0.000 0.000 0.500
Li: 0.500 0.500 0.000
Mg: 0.000 0.500 0.750
Mg: 0.500 0.000 0.250

Summary:
- calculated volume (Å³/f.u.) = 140
- space group = I-4m2, No. 119


Computed, not measured: a PBEsol-optimized structure of Ba2LiMg2 at the SCAN level of DFT.

Cell: 8.162 8.162 5.659 Å, 90.00 90.00 90.00°
Sites, in units of the cell vectors:
Ba: 0.173 0.327 0.000
Ba: 0.327 0.827 0.000
Ba: 0.673 0.173 0.000
Ba: 0.827 0.673 0.000
Li: 0.000 0.000 0.500
Li: 0.500 0.500 0.500
Mg: 0.132 0.632 0.500
Mg: 0.368 0.132 0.500
Mg: 0.632 0.868 0.500
Mg: 0.868 0.368 0.500

Summary:
- calculated volume (Å³/f.u.) = 189
- space group = P4/mbm, No. 127


| no. | magnetic moment (μB/f.u.) | formation energy (kJ/mol of atoms) | total energy (eV/cell) |
| --- | --- | --- | --- |
| 1 | 0.0 | 3 | -186.31 |
| 2 | 0.0 | 5 | -399.61 |
| 3 | 0.4 | 6 | -58.07 |
| 4 | 0.2 | 15 | -83.25 |
| 5 | 0.1 | 4 | -83.71 |
| 6 | 0.4 | -1 | -54.12 |
| 7 | 0.0 | 4 | -172.61 |
| 8 | 0.0 | 6 | -182.23 |